# 1
# InNi2Au2 (PBE, optimized geometry)
data_InNi2Au2
_chemical_formula_sum 'In2 Ni4 Au4'
_cell_length_a 3.662
_cell_length_b 3.662
_cell_length_c 12.678
_cell_angle_alpha 90.00
_cell_angle_beta 90.00
_cell_angle_gamma 90.00
_symmetry_space_group_name_H-M 'I 4/m m m'
_symmetry_Int_Tables_number 139
_symmetry_space_group_name_Hall '-I 4 2'
loop_
_atom_site_label
_atom_site_type_symbol
_atom_site_fract_x
_atom_site_fract_y
_atom_site_fract_z
_atom_site_occupancy
In1 In 0.000 0.000 0.000 1
Ni1 Ni 0.000 0.500 0.250 1
Au1 Au 0.000 0.000 0.391 1
# Uncorrected energy: -3.9209 eV per atom
# Theoretical density: 12.2 g/cm3

---

# 2
# MgCoHgTe3 (PBE, optimized geometry)
data_MgCoHgTe3
_chemical_formula_sum 'Mg4 Co4 Hg4 Te12'
_cell_length_a 4.128
_cell_length_b 12.221
_cell_length_c 12.512
_cell_angle_alpha 90.00
_cell_angle_beta 90.00
_cell_angle_gamma 90.00
_symmetry_space_group_name_H-M 'C m c m'
_symmetry_Int_Tables_number 63
_symmetry_space_group_name_Hall '-C 2c 2'
loop_
_atom_site_label
_atom_site_type_symbol
_atom_site_fract_x
_atom_site_fract_y
_atom_site_fract_z
_atom_site_occupancy
Mg1 Mg 0.000 0.217 0.250 1
Co1 Co 0.000 0.448 0.750 1
Hg1 Hg 0.000 0.000 0.000 1
Te1 Te 0.000 0.058 0.750 1
Te2 Te 0.000 0.329 0.590 1
# Energy relative to the lowest polymorph listed for this composition: 56 meV/atom
# Theoretical density: 7.0 g/cm3

---

# 3
# RbTmScSe3 (PBE, optimized geometry)
data_RbTmScSe3
_chemical_formula_sum 'Rb4 Tm4 Sc4 Se12'
_cell_length_a 4.352
_cell_length_b 15.702
_cell_length_c 10.714
_cell_angle_alpha 90.00
_cell_angle_beta 90.00
_cell_angle_gamma 90.00
_symmetry_space_group_name_H-M 'C m c m'
_symmetry_Int_Tables_number 63
_symmetry_space_group_name_Hall '-C 2c 2'
loop_
_atom_site_label
_atom_site_type_symbol
_atom_site_fract_x
_atom_site_fract_y
_atom_site_fract_z
_atom_site_occupancy
Rb1 Rb 0.000 0.245 0.250 1
Tm1 Tm 0.000 0.028 0.750 1
Sc1 Sc 0.000 0.500 0.000 1
Se1 Se 0.000 0.117 0.539 1
Se2 Se 0.000 0.430 0.750 1
# Energy relative to the lowest polymorph listed for this composition: 87 meV/atom
# Theoretical density: 4.9 g/cm3

---

# 4
# LiScNb2 (PBE, optimized geometry)
data_LiScNb2
_chemical_formula_sum 'Li4 Sc4 Nb8'
_cell_length_a 6.601
_cell_length_b 6.601
_cell_length_c 6.601
_cell_angle_alpha 90.00
_cell_angle_beta 90.00
_cell_angle_gamma 90.00
_symmetry_space_group_name_H-M 'F -4 3 m'
_symmetry_Int_Tables_number 216
_symmetry_space_group_name_Hall 'F -4 2 3'
loop_
_atom_site_label
_atom_site_type_symbol
_atom_site_fract_x
_atom_site_fract_y
_atom_site_fract_z
_atom_site_occupancy
Li1 Li 0.000 0.000 0.000 1
Sc1 Sc 0.250 0.250 0.250 1
Nb1 Nb 0.000 0.000 0.500 1
Nb2 Nb 0.250 0.250 0.750 1
# Uncorrected energy: -6.8270 eV per atom
# Theoretical density: 5.5 g/cm3